No. 1
# Tb8DyEr3 PBE optimized geometry
# electronic total energy	-3.89	eV/atom
# symmetry	I4/mmm, No. 139
# energy relative to the elements	721	meV/atom
# DOS at the Fermi energy	1.157	states/eV/atom
data_Tb8DyEr3
_cell_length_a 9.3664
_cell_length_b 9.3664
_cell_length_c 9.3664
_cell_angle_alpha 131.80
_cell_angle_beta 131.80
_cell_angle_gamma 70.54
_space_group_name_H-M_alt 'P 1'
_space_group_IT_number 1
loop_
_space_group_symop_operation_xyz
'x,y,z'
loop_
_atom_site_label
_atom_site_fract_x
_atom_site_fract_y
_atom_site_fract_z
Tb1 0.1252 0.1252 0.5008
Tb2 0.1252 0.6244 0.0000
Tb3 0.3756 0.3756 0.5008
Tb4 0.3756 0.8748 0.0000
Tb5 0.6244 0.1252 0.0000
Tb6 0.6244 0.6244 0.4992
Tb7 0.8748 0.3756 0.0000
Tb8 0.8748 0.8748 0.4992
Dy1 0.0000 0.0000 0.0000
Er1 0.2500 0.7500 0.5000
Er2 0.5000 0.5000 0.0000
Er3 0.7500 0.2500 0.5000

No. 2
# Li3Hg5Bi PBE optimized geometry
# electronic total energy	-1.48	eV/atom
# symmetry	P6_3/mcm, No. 193
# energy relative to the elements	-238	meV/atom
# DOS at the Fermi energy	0.286	states/eV/atom
data_Li3Hg5Bi
_cell_length_a 8.4710
_cell_length_b 8.4710
_cell_length_c 6.5627
_cell_angle_alpha 90.00
_cell_angle_beta 90.00
_cell_angle_gamma 120.00
_space_group_name_H-M_alt 'P 1'
_space_group_IT_number 1
loop_
_space_group_symop_operation_xyz
'x,y,z'
loop_
_atom_site_label
_atom_site_fract_x
_atom_site_fract_y
_atom_site_fract_z
Li1 0.0000 0.3294 0.2500
Li2 0.0000 0.6706 0.7500
Li3 0.3294 0.0000 0.2500
Li4 0.3294 0.3294 0.7500
Li5 0.6706 0.0000 0.7500
Li6 0.6706 0.6706 0.2500
Hg1 0.0000 0.3455 0.7500
Hg2 0.0000 0.6545 0.2500
Hg3 0.3333 0.6667 0.0000
Hg4 0.3333 0.6667 0.5000
Hg5 0.3455 0.0000 0.7500
Hg6 0.3455 0.3455 0.2500
Hg7 0.6545 0.0000 0.2500
Hg8 0.6545 0.6545 0.7500
Hg9 0.6667 0.3333 0.0000
Hg10 0.6667 0.3333 0.5000
Bi1 0.0000 0.0000 0.0000
Bi2 0.0000 0.0000 0.5000

No. 3
# GdLuMgPb PBE optimized geometry
# electronic total energy	-6.23	eV/atom
# symmetry	F-43m, No. 216
# energy relative to the elements	-250	meV/atom
# DOS at the Fermi energy	0.947	states/eV/atom
data_GdLuMgPb
_cell_length_a 7.5542
_cell_length_b 7.5542
_cell_length_c 7.5542
_cell_angle_alpha 90.00
_cell_angle_beta 90.00
_cell_angle_gamma 90.00
_space_group_name_H-M_alt 'P 1'
_space_group_IT_number 1
loop_
_space_group_symop_operation_xyz
'x,y,z'
loop_
_atom_site_label
_atom_site_fract_x
_atom_site_fract_y
_atom_site_fract_z
Gd1 0.0000 0.0000 0.0000
Gd2 0.0000 0.5000 0.5000
Gd3 0.5000 0.0000 0.5000
Gd4 0.5000 0.5000 0.0000
Lu1 0.0000 0.0000 0.5000
Lu2 0.0000 0.5000 0.0000
Lu3 0.5000 0.0000 0.0000
Lu4 0.5000 0.5000 0.5000
Mg1 0.2500 0.2500 0.7500
Mg2 0.2500 0.7500 0.2500
Mg3 0.7500 0.2500 0.2500
Mg4 0.7500 0.7500 0.7500
Pb1 0.2500 0.2500 0.2500
Pb2 0.2500 0.7500 0.7500
Pb3 0.7500 0.2500 0.7500
Pb4 0.7500 0.7500 0.2500

No. 4
# PPtRh2 PBE optimized geometry
# electronic total energy	-6.62	eV/atom
# symmetry	Cmmm, No. 65
# energy relative to the elements	-83	meV/atom
# DOS at the Fermi energy	0.705	states/eV/atom
data_PPtRh2
_cell_length_a 5.4050
_cell_length_b 7.2808
_cell_length_c 2.9088
_cell_angle_alpha 90.00
_cell_angle_beta 90.00
_cell_angle_gamma 90.00
_space_group_name_H-M_alt 'P 1'
_space_group_IT_number 1
loop_
_space_group_symop_operation_xyz
'x,y,z'
loop_
_atom_site_label
_atom_site_fract_x
_atom_site_fract_y
_atom_site_fract_z
P1 0.0000 0.0000 0.0000
P2 0.5000 0.5000 0.0000
Pt1 0.0000 0.5000 0.0000
Pt2 0.5000 0.0000 0.0000
Rh1 0.2500 0.2500 0.5000
Rh2 0.2500 0.7500 0.5000
Rh3 0.7500 0.2500 0.5000
Rh4 0.7500 0.7500 0.5000

No. 5
# LiMn3Sb PBE optimized geometry
# electronic total energy	-5.97	eV/atom
# raw formation energy	739	meV/atom
# symmetry	Pm-3m, No. 221
# DOS at the Fermi energy	0.483	states/eV/atom
# polymorph energy (0 for the lowest one)	0.00	kcal/mol of atoms
data_LiMn3Sb
_cell_length_a 4.3542
_cell_length_b 4.3542
_cell_length_c 4.3542
_cell_angle_alpha 90.00
_cell_angle_beta 90.00
_cell_angle_gamma 90.00
_space_group_name_H-M_alt 'P 1'
_space_group_IT_number 1
loop_
_space_group_symop_operation_xyz
'x,y,z'
loop_
_atom_site_label
_atom_site_fract_x
_atom_site_fract_y
_atom_site_fract_z
Li1 0.0000 0.0000 0.0000
Mn1 0.0000 0.0000 0.5000
Mn2 0.0000 0.5000 0.0000
Mn3 0.5000 0.0000 0.0000
Sb1 0.5000 0.5000 0.5000

No. 6
# LaPmTmCd PBE optimized geometry
# electronic total energy	-3.91	eV/atom
# symmetry	P4mm, No. 99
# energy relative to the elements	-140	meV/atom
# DOS at the Fermi energy	1.366	states/eV/atom
# polymorph energy (0 for the lowest one)	0.00	kcal/mol of atoms
data_LaPmTmCd
_cell_length_a 3.6759
_cell_length_b 3.6759
_cell_length_c 9.0876
_cell_angle_alpha 90.00
_cell_angle_beta 90.00
_cell_angle_gamma 90.00
_space_group_name_H-M_alt 'P 1'
_space_group_IT_number 1
loop_
_space_group_symop_operation_xyz
'x,y,z'
loop_
_atom_site_label
_atom_site_fract_x
_atom_site_fract_y
_atom_site_fract_z
La1 0.0000 0.0000 0.0000
Pm1 0.5000 0.5000 0.7109
Tm1 0.5000 0.5000 0.2760
Cd1 0.0000 0.0000 0.4798

No. 7
# TiSiI2 PBE optimized geometry
# electronic total energy	-3.61	eV/atom
# raw formation energy	495	meV/atom
# symmetry	I-42d, No. 122
# DOS at the Fermi energy	1.011	states/eV/atom
# polymorph energy (0 for the lowest one)	0.69	kcal/mol of atoms
data_TiSiI2
_cell_length_a 7.9552
_cell_length_b 7.9552
_cell_length_c 7.1111
_cell_angle_alpha 90.00
_cell_angle_beta 90.00
_cell_angle_gamma 90.00
_space_group_name_H-M_alt 'P 1'
_space_group_IT_number 1
loop_
_space_group_symop_operation_xyz
'x,y,z'
loop_
_atom_site_label
_atom_site_fract_x
_atom_site_fract_y
_atom_site_fract_z
Ti1 0.0000 0.0000 0.0000
Ti2 0.0000 0.5000 0.2500
Ti3 0.5000 0.0000 0.7500
Ti4 0.5000 0.5000 0.5000
Si1 0.0000 0.0000 0.5000
Si2 0.0000 0.5000 0.7500
Si3 0.5000 0.0000 0.2500
Si4 0.5000 0.5000 0.0000
I1 0.2244 0.7500 0.1250
I2 0.2500 0.2244 0.8750
I3 0.2500 0.2756 0.3750
I4 0.2756 0.7500 0.6250
I5 0.7244 0.2500 0.6250
I6 0.7500 0.7244 0.3750
I7 0.7500 0.7756 0.8750
I8 0.7756 0.2500 0.1250

No. 8
# Sc4Al2Cd5 PBE optimized geometry
# electronic total energy	-3.67	eV/atom
# symmetry	P2/m, No. 10
# energy relative to the elements	-271	meV/atom
# DOS at the Fermi energy	0.843	states/eV/atom
data_Sc4Al2Cd5
_cell_length_a 7.5386
_cell_length_b 3.2807
_cell_length_c 9.5967
_cell_angle_alpha 90.00
_cell_angle_beta 94.70
_cell_angle_gamma 90.00
_space_group_name_H-M_alt 'P 1'
_space_group_IT_number 1
loop_
_space_group_symop_operation_xyz
'x,y,z'
loop_
_atom_site_label
_atom_site_fract_x
_atom_site_fract_y
_atom_site_fract_z
Sc1 0.1648 0.0000 0.3791
Sc2 0.2649 0.0000 0.9399
Sc3 0.7351 0.0000 0.0601
Sc4 0.8352 0.0000 0.6209
Al1 0.0611 0.5000 0.1309
Al2 0.9389 0.5000 0.8691
Cd1 0.1814 0.5000 0.6593
Cd2 0.4364 0.5000 0.1950
Cd3 0.5000 0.5000 0.5000
Cd4 0.5636 0.5000 0.8050
Cd5 0.8186 0.5000 0.3407

- The highest DOS at the Fermi energy belongs to which entry?
  LaPmTmCd